(1)
RbTlF3: relaxed, GGA-PBE.

The structure in CIF format:
```
data_RbTlF3
_cell_length_a 15.3068
_cell_length_b 3.7200
_cell_length_c 7.4471
_cell_angle_alpha 90.00
_cell_angle_beta 103.80
_cell_angle_gamma 90.00
_space_group_name_H-M_alt 'C 1 2/m 1'
_space_group_IT_number 12
loop_
_space_group_symop_operation_xyz
'x,y,z'
'-x,-y,-z'
'-x,y,-z'
'x,-y,z'
'x+1/2,y+1/2,z'
'-x+1/2,-y+1/2,-z'
'-x+1/2,y+1/2,-z'
'x+1/2,-y+1/2,z'
loop_
_atom_site_label
_atom_site_type_symbol
_atom_site_fract_x
_atom_site_fract_y
_atom_site_fract_z
_atom_site_occupancy
Rb1 Rb 0.1792 0.0000 0.2059 1
Tl1 Tl 0.0654 0.5000 0.6651 1
F1 F 0.0015 0.0000 0.7820 1
F2 F 0.1603 0.0000 0.5985 1
F3 F 0.1609 0.5000 0.9253 1
```

## Properties
Calculated density ... 5.6 Mg/m³
E ... -3.96 eV/atom

(2)
RbTlF3: relaxed, GGA-PBE.

The structure in CIF format:
```
data_RbTlF3
_cell_length_a 4.2337
_cell_length_b 4.2337
_cell_length_c 14.7879
_cell_angle_alpha 90.00
_cell_angle_beta 90.00
_cell_angle_gamma 120.00
_space_group_name_H-M_alt 'P 63/m m c'
_space_group_IT_number 194
_space_group_name_Hall '-P 6c 2c'
loop_
_atom_site_label
_atom_site_type_symbol
_atom_site_fract_x
_atom_site_fract_y
_atom_site_fract_z
_atom_site_occupancy
Rb1 Rb 0.0000 0.0000 0.0000 1
Tl1 Tl 0.3333 0.6667 0.2500 1
F1 F 0.0000 0.0000 0.2500 1
F2 F 0.3333 0.6667 0.0964 1
```

## Properties
Calculated density ... 5.0 Mg/m³
E ... -3.92 eV/atom

(3)
Rb2TlF: relaxed, GGA-PBE.

The structure in CIF format:
```
data_Rb2TlF
_cell_length_a 8.3065
_cell_length_b 8.3065
_cell_length_c 9.8946
_cell_angle_alpha 90.00
_cell_angle_beta 90.00
_cell_angle_gamma 90.00
_space_group_name_H-M_alt 'I -4 2 d'
_space_group_IT_number 122
_space_group_name_Hall 'I -4 2bw'
loop_
_atom_site_label
_atom_site_type_symbol
_atom_site_fract_x
_atom_site_fract_y
_atom_site_fract_z
_atom_site_occupancy
Rb1 Rb 0.1294 0.2500 0.1250 1
Tl1 Tl 0.0000 0.0000 0.5000 1
F1 F 0.0000 0.0000 0.0000 1
```

## Properties
Calculated density ... 3.8 Mg/m³
E ... -2.71 eV/atom

(4)
Rb2TlF: relaxed, GGA-PBE.

The structure in CIF format:
```
data_Rb2TlF
_cell_length_a 3.9883
_cell_length_b 3.9883
_cell_length_c 31.9032
_cell_angle_alpha 90.00
_cell_angle_beta 90.00
_cell_angle_gamma 120.00
_space_group_name_H-M_alt 'R -3 m'
_space_group_IT_number 166
_space_group_name_Hall '-R 3 2"'
loop_
_atom_site_label
_atom_site_type_symbol
_atom_site_fract_x
_atom_site_fract_y
_atom_site_fract_z
_atom_site_occupancy
Rb1 Rb 0.0000 0.0000 0.1134 1
Tl1 Tl 0.0000 0.0000 0.0000 1
F1 F 0.0000 0.0000 0.5000 1
```

## Properties
Calculated density ... 4.5 Mg/m³
E ... -2.72 eV/atom

| no. | formation energy without anion corrections (eV/atom) |
| --- | --- |
| 1 | -2.1711 |
| 2 | -2.1261 |
| 3 | -1.1630 |
| 4 | -1.1810 |